Li2SbRh: PBEsol geometry, meta-GGA SCAN.

Unit cell a=3.004 b=4.023 c=5.195 alpha=90.00 beta=90.00 gamma=90.00
Positions (direct):
1 Li 0.000 0.000 0.227
2 Li 0.000 0.000 0.773
3 Sb 0.500 0.500 0.500
4 Rh 0.500 0.500 0.000

Summary:
mass density: 6.3 g/cm3
space-group type: Pmmm
formation energy (no corrections): -348 meV per atom
size of the total moment: 0.000 μB/cell